Record 1
VASP calculation (GGA-PBE) on a relaxed structure of TiTc5Ge6.

```
data_TiTc5Ge6
_cell_length_a 7.553
_cell_length_b 4.316
_cell_length_c 6.951
_cell_angle_alpha 71.56
_cell_angle_beta 79.55
_cell_angle_gamma 55.20
_symmetry_space_group_name_H-M 'P 1'
_symmetry_Int_Tables_number 1
_symmetry_space_group_name_Hall 'P 1'
loop_
_atom_site_label
_atom_site_fract_x
_atom_site_fract_y
_atom_site_fract_z
Ge1 0.257 0.911 0.657
Tc1 0.000 0.640 0.687
Tc2 0.500 0.830 0.335
Ge2 0.257 0.574 0.343
Tc3 0.500 0.170 0.665
Ti1 0.000 0.000 0.000
Ge3 0.743 0.426 0.657
Ge4 0.735 0.765 0.000
Tc4 0.500 0.500 0.000
Ge5 0.265 0.235 0.000
Tc5 0.000 0.360 0.313
Ge6 0.743 0.089 0.343
```

Computed properties:
Final energy in eV for the cell shown: -89.0
Space group: P-1, No. 2

Record 2
VASP calculation (GGA-PBE) on a relaxed structure of TcSb2Te.

```
data_TcSb2Te
_cell_length_a 5.340
_cell_length_b 5.340
_cell_length_c 5.340
_cell_angle_alpha 129.02
_cell_angle_beta 129.02
_cell_angle_gamma 74.98
_symmetry_space_group_name_H-M 'P 1'
_symmetry_Int_Tables_number 1
_symmetry_space_group_name_Hall 'P 1'
loop_
_atom_site_label
_atom_site_fract_x
_atom_site_fract_y
_atom_site_fract_z
Tc1 0.250 0.750 0.500
Sb1 0.500 0.500 0.000
Te1 0.750 0.250 0.500
Sb2 0.000 0.000 0.000
```

Computed properties:
Final energy in eV for the cell shown: -19.4
ΔE_f (raw) in eV per atom: 0.60
Space group: I4/mmm, No. 139

Record 3
VASP calculation (GGA-PBE) on a relaxed structure of Al2HgPt.

```
data_Al2HgPt
_cell_length_a 8.473
_cell_length_b 8.473
_cell_length_c 8.473
_cell_angle_alpha 21.52
_cell_angle_beta 21.52
_cell_angle_gamma 21.52
_symmetry_space_group_name_H-M 'P 1'
_symmetry_Int_Tables_number 1
_symmetry_space_group_name_Hall 'P 1'
loop_
_atom_site_label
_atom_site_fract_x
_atom_site_fract_y
_atom_site_fract_z
Pt1 0.750 0.750 0.750
Al1 0.010 0.010 0.010
Al2 0.490 0.490 0.490
Hg1 0.250 0.250 0.250
```

Computed properties:
Final energy in eV for the cell shown: -15.1
Space group: R-3m, No. 166

Record 4
VASP calculation (GGA-PBE) on a relaxed structure of Tl2PdCl.

```
data_Tl2PdCl
_cell_length_a 6.435
_cell_length_b 6.435
_cell_length_c 8.343
_cell_angle_alpha 67.32
_cell_angle_beta 67.32
_cell_angle_gamma 90.00
_symmetry_space_group_name_H-M 'P 1'
_symmetry_Int_Tables_number 1
_symmetry_space_group_name_Hall 'P 1'
loop_
_atom_site_label
_atom_site_fract_x
_atom_site_fract_y
_atom_site_fract_z
Tl1 0.073 0.625 0.250
Tl2 0.677 0.125 0.250
Tl3 0.875 0.927 0.750
Tl4 0.375 0.323 0.750
Cl1 0.250 0.750 0.500
Pd1 0.000 0.000 0.000
Pd2 0.750 0.250 0.500
Cl2 0.500 0.500 0.000
```

Computed properties:
Final energy in eV for the cell shown: -25.6
ΔE_f (raw) in eV per atom: -0.25
Space group: I-42d, No. 122

Summary of magnetization in μB/f.u.
0.00 0.00 0.00 0.00
(order as listed above)